A:
8
Lattice="13.726 0.000 0.000 0.000 3.254 0.000 -0.159 0.000 4.268" Properties=species:S:1:pos:R:3 comment="ScOsBr2 | Alexandria | PBEsol | relaxed" mass_density_g_cm3=6.88 pbc="T T T"
Sc 0.000 0.000 0.000
Sc 6.863 1.627 0.000
Os -0.080 1.627 2.134
Os 6.783 0.000 2.134
Br 2.069 1.627 0.977
Br 4.634 0.000 3.290
Br 8.932 0.000 0.977
Br 11.497 1.627 3.290



B:
4
Lattice="3.484 0.000 0.000 0.000 3.484 0.000 0.000 0.000 7.032" Properties=species:S:1:pos:R:3 comment="ScOsBr2 | Alexandria | PBEsol | relaxed" mass_density_g_cm3=7.68 pbc="T T T"
Sc 0.000 0.000 0.000
Os 1.742 1.742 5.941
Br 0.000 0.000 4.189
Br 1.742 1.742 1.420



Stability check: which of them is most stable? A.